[1]
# NaZn2InAs (PBE, optimized geometry)
data_NaZn2InAs
_chemical_formula_sum 'Na1 Zn2 In1 As1'
_cell_length_a 5.173
_cell_length_b 5.173
_cell_length_c 5.365
_cell_angle_alpha 90.00
_cell_angle_beta 90.00
_cell_angle_gamma 90.00
_symmetry_space_group_name_H-M 'P 4/m m m'
_symmetry_Int_Tables_number 123
_symmetry_space_group_name_Hall '-P 4 2'
loop_
_atom_site_label
_atom_site_type_symbol
_atom_site_fract_x
_atom_site_fract_y
_atom_site_fract_z
_atom_site_occupancy
Na1 Na 0.000 0.000 0.000 1
Zn1 Zn 0.000 0.500 0.500 1
In1 In 0.500 0.500 0.000 1
As1 As 0.500 0.500 0.500 1
# - D(E_F): 0.61 states/eV per atom
# - Theoretical density: 3.973 g/cm3
# - Energy relative to the elements: 0.2781 eV/atom

***

[2]
# NbInAs3 (PBE, optimized geometry)
data_NbInAs3
_chemical_formula_sum 'Nb1 In1 As3'
_cell_length_a 5.056
_cell_length_b 5.056
_cell_length_c 5.056
_cell_angle_alpha 90.00
_cell_angle_beta 90.00
_cell_angle_gamma 90.00
_symmetry_space_group_name_H-M 'P m -3 m'
_symmetry_Int_Tables_number 221
_symmetry_space_group_name_Hall '-P 4 2 3'
loop_
_atom_site_label
_atom_site_type_symbol
_atom_site_fract_x
_atom_site_fract_y
_atom_site_fract_z
_atom_site_occupancy
Nb1 Nb 0.000 0.000 0.000 1
In1 In 0.500 0.500 0.500 1
As1 As 0.000 0.000 0.500 1
# - D(E_F): 0.82 states/eV per atom
# - Theoretical density: 5.556 g/cm3
# - Energy relative to the elements: 0.1585 eV/atom

***

[3]
# Nb2In2As (PBE, optimized geometry)
data_Nb2In2As
_chemical_formula_sum 'Nb4 In4 As2'
_cell_length_a 6.700
_cell_length_b 6.700
_cell_length_c 4.628
_cell_angle_alpha 90.00
_cell_angle_beta 90.00
_cell_angle_gamma 90.00
_symmetry_space_group_name_H-M 'P 4/m b m'
_symmetry_Int_Tables_number 127
_symmetry_space_group_name_Hall '-P 4 2ab'
loop_
_atom_site_label
_atom_site_type_symbol
_atom_site_fract_x
_atom_site_fract_y
_atom_site_fract_z
_atom_site_occupancy
Nb1 Nb 0.146 0.354 0.000 1
In1 In 0.160 0.660 0.500 1
As1 As 0.000 0.000 0.000 1
# - D(E_F): 0.68 states/eV per atom
# - Theoretical density: 7.839 g/cm3
# - Energy relative to the elements: -0.1120 eV/atom

***

[4]
# NbIn2As (PBE, optimized geometry)
data_NbIn2As
_chemical_formula_sum 'Nb4 In8 As4'
_cell_length_a 8.010
_cell_length_b 8.010
_cell_length_c 5.565
_cell_angle_alpha 90.00
_cell_angle_beta 90.00
_cell_angle_gamma 90.00
_symmetry_space_group_name_H-M 'I -4 2 d'
_symmetry_Int_Tables_number 122
_symmetry_space_group_name_Hall 'I -4 2bw'
loop_
_atom_site_label
_atom_site_type_symbol
_atom_site_fract_x
_atom_site_fract_y
_atom_site_fract_z
_atom_site_occupancy
Nb1 Nb 0.000 0.000 0.000 1
In1 In 0.238 0.750 0.625 1
As1 As 0.000 0.000 0.500 1
# - D(E_F): 1.12 states/eV per atom
# - Theoretical density: 7.395 g/cm3
# - Energy relative to the elements: 0.4050 eV/atom

***

[5]
# Nb3InAs (PBE, optimized geometry)
data_Nb3InAs
_chemical_formula_sum 'Nb3 In1 As1'
_cell_length_a 4.786
_cell_length_b 4.786
_cell_length_c 4.786
_cell_angle_alpha 90.00
_cell_angle_beta 90.00
_cell_angle_gamma 90.00
_symmetry_space_group_name_H-M 'P m -3 m'
_symmetry_Int_Tables_number 221
_symmetry_space_group_name_Hall '-P 4 2 3'
loop_
_atom_site_label
_atom_site_type_symbol
_atom_site_fract_x
_atom_site_fract_y
_atom_site_fract_z
_atom_site_occupancy
Nb1 Nb 0.000 0.000 0.500 1
In1 In 0.500 0.500 0.500 1
As1 As 0.000 0.000 0.000 1
# - D(E_F): 1.82 states/eV per atom
# - Theoretical density: 7.095 g/cm3
# - Energy relative to the elements: 0.5251 eV/atom

***

[6]
# NbInAs3 (PBE, optimized geometry)
data_NbInAs3
_chemical_formula_sum 'Nb1 In1 As3'
_cell_length_a 5.051
_cell_length_b 5.051
_cell_length_c 5.051
_cell_angle_alpha 90.00
_cell_angle_beta 90.00
_cell_angle_gamma 90.00
_symmetry_space_group_name_H-M 'P m -3 m'
_symmetry_Int_Tables_number 221
_symmetry_space_group_name_Hall '-P 4 2 3'
loop_
_atom_site_label
_atom_site_type_symbol
_atom_site_fract_x
_atom_site_fract_y
_atom_site_fract_z
_atom_site_occupancy
Nb1 Nb 0.000 0.000 0.000 1
In1 In 0.500 0.500 0.500 1
As1 As 0.000 0.500 0.500 1
# - D(E_F): 1.42 states/eV per atom
# - Theoretical density: 5.573 g/cm3
# - Energy relative to the elements: 1.3850 eV/atom

***

[7]
# Nb2InAs (PBE, optimized geometry)
data_Nb2InAs
_chemical_formula_sum 'Nb8 In4 As4'
_cell_length_a 6.646
_cell_length_b 6.646
_cell_length_c 6.646
_cell_angle_alpha 90.00
_cell_angle_beta 90.00
_cell_angle_gamma 90.00
_symmetry_space_group_name_H-M 'F m -3 m'
_symmetry_Int_Tables_number 225
_symmetry_space_group_name_Hall '-F 4 2 3'
loop_
_atom_site_label
_atom_site_type_symbol
_atom_site_fract_x
_atom_site_fract_y
_atom_site_fract_z
_atom_site_occupancy
Nb1 Nb 0.250 0.250 0.250 1
In1 In 0.000 0.000 0.000 1
As1 As 0.000 0.000 0.500 1
# - D(E_F): 0.94 states/eV per atom
# - Theoretical density: 8.499 g/cm3
# - Energy relative to the elements: 0.1035 eV/atom

***

[8]
# Nb2InAs (PBE, optimized geometry)
data_Nb2InAs
_chemical_formula_sum 'Nb8 In4 As4'
_cell_length_a 4.019
_cell_length_b 4.019
_cell_length_c 19.956
_cell_angle_alpha 90.00
_cell_angle_beta 90.00
_cell_angle_gamma 90.00
_symmetry_space_group_name_H-M 'I -4 2 d'
_symmetry_Int_Tables_number 122
_symmetry_space_group_name_Hall 'I -4 2bw'
loop_
_atom_site_label
_atom_site_type_symbol
_atom_site_fract_x
_atom_site_fract_y
_atom_site_fract_z
_atom_site_occupancy
Nb1 Nb 0.249 0.250 0.125 1
In1 In 0.000 0.000 0.000 1
As1 As 0.000 0.000 0.500 1
# - D(E_F): 0.44 states/eV per atom
# - Theoretical density: 7.737 g/cm3
# - Energy relative to the elements: 0.2653 eV/atom

***

[9]
# Nb3InAs (PBE, optimized geometry)
data_Nb3InAs
_chemical_formula_sum 'Nb3 In1 As1'
_cell_length_a 5.027
_cell_length_b 5.027
_cell_length_c 5.027
_cell_angle_alpha 90.00
_cell_angle_beta 90.00
_cell_angle_gamma 90.00
_symmetry_space_group_name_H-M 'P m -3 m'
_symmetry_Int_Tables_number 221
_symmetry_space_group_name_Hall '-P 4 2 3'
loop_
_atom_site_label
_atom_site_type_symbol
_atom_site_fract_x
_atom_site_fract_y
_atom_site_fract_z
_atom_site_occupancy
Nb1 Nb 0.000 0.000 0.500 1
In1 In 0.000 0.000 0.000 1
As1 As 0.500 0.500 0.500 1
# - D(E_F): 1.40 states/eV per atom
# - Theoretical density: 6.125 g/cm3
# - Energy relative to the elements: 1.8585 eV/atom

***

[10]
# NbInAsOs2 (PBE, optimized geometry)
data_NbInAsOs2
_chemical_formula_sum 'Nb1 In1 As1 Os2'
_cell_length_a 4.818
_cell_length_b 4.818
_cell_length_c 5.043
_cell_angle_alpha 90.00
_cell_angle_beta 90.00
_cell_angle_gamma 90.00
_symmetry_space_group_name_H-M 'P 4/m m m'
_symmetry_Int_Tables_number 123
_symmetry_space_group_name_Hall '-P 4 2'
loop_
_atom_site_label
_atom_site_type_symbol
_atom_site_fract_x
_atom_site_fract_y
_atom_site_fract_z
_atom_site_occupancy
Nb1 Nb 0.000 0.000 0.000 1
In1 In 0.000 0.000 0.500 1
As1 As 0.500 0.500 0.000 1
Os1 Os 0.000 0.500 0.500 1
# - D(E_F): 1.25 states/eV per atom
# - Theoretical density: 9.404 g/cm3
# - Energy relative to the elements: 2.5071 eV/atom

***

[11]
# NbInAsSe2 (PBE, optimized geometry)
data_NbInAsSe2
_chemical_formula_sum 'Nb1 In1 As1 Se2'
_cell_length_a 5.221
_cell_length_b 5.221
_cell_length_c 5.378
_cell_angle_alpha 90.00
_cell_angle_beta 90.00
_cell_angle_gamma 90.00
_symmetry_space_group_name_H-M 'P 4/m m m'
_symmetry_Int_Tables_number 123
_symmetry_space_group_name_Hall '-P 4 2'
loop_
_atom_site_label
_atom_site_type_symbol
_atom_site_fract_x
_atom_site_fract_y
_atom_site_fract_z
_atom_site_occupancy
Nb1 Nb 0.000 0.000 0.000 1
In1 In 0.500 0.500 0.500 1
As1 As 0.000 0.000 0.500 1
Se1 Se 0.000 0.500 0.000 1
# - D(E_F): 0.50 states/eV per atom
# - Theoretical density: 4.990 g/cm3
# - Energy relative to the elements, uncorrected: -0.11 eV per atom

***

[12]
# NbInAsSe2 (PBE, optimized geometry)
data_NbInAsSe2
_chemical_formula_sum 'Nb1 In1 As1 Se2'
_cell_length_a 5.251
_cell_length_b 5.251
_cell_length_c 5.169
_cell_angle_alpha 90.00
_cell_angle_beta 90.00
_cell_angle_gamma 90.00
_symmetry_space_group_name_H-M 'P 4/m m m'
_symmetry_Int_Tables_number 123
_symmetry_space_group_name_Hall '-P 4 2'
loop_
_atom_site_label
_atom_site_type_symbol
_atom_site_fract_x
_atom_site_fract_y
_atom_site_fract_z
_atom_site_occupancy
Nb1 Nb 0.000 0.000 0.000 1
In1 In 0.500 0.500 0.500 1
As1 As 0.500 0.500 0.000 1
Se1 Se 0.000 0.500 0.500 1
# - D(E_F): 1.29 states/eV per atom
# - Theoretical density: 5.134 g/cm3
# - Energy relative to the elements, uncorrected: 1.09 eV per atom

***

theoretical density of number 3 (Nb2In2As)? 7.839 g/cm3

***

Which formula does entry 9 have? Nb3InAs

***

Which value of theoretical density does entry 7 give? 8.499 g/cm3